La2YZr | Alexandria via LeMat-Bulk | PBE-GGA | optimized geometry; crystal system = tetragonal; symmetry = P4mm (99); volume = 31.6 Å³/atom; formation enthalpy at 0 K = 38 kJ/mol of formula units; polymorph energy (0 for the lowest one) = 0.0000 eV/atom
1.0
3.4980 0.0000 0.0000
0.0000 3.4980 0.0000
0.0000 0.0000 10.3180
La Y Zr
2 1 1
Direct
0.0000 0.0000 0.0000
0.5000 0.5000 0.2757
0.0000 0.0000 0.5509
0.5000 0.5000 0.7675

SbW2Br | Alexandria via LeMat-Bulk | PBE-GGA | optimized geometry; crystal system = cubic; symmetry = F-43m (216); volume = 19.2 Å³/atom; energy relative to the elements, uncorrected = 1.30 eV per atom; polymorph energy (0 for the lowest one) = 1.1000 eV/atom
1.0
0.0000 3.3719 3.3719
3.3719 0.0000 3.3719
3.3719 3.3719 0.0000
Sb W Br
1 2 1
Direct
0.0000 0.0000 0.0000
0.2500 0.2500 0.2500
0.5000 0.5000 0.5000
0.7500 0.7500 0.7500

Ca5Pt | Alexandria via LeMat-Bulk | PBE-GGA | optimized geometry; crystal system = monoclinic; symmetry = C2/m (12); volume = 34.4 Å³/atom; formation enthalpy at 0 K = -189 kJ/mol of formula units
1.0
6.5074 -1.8760 0.0000
6.5074 1.8760 0.0000
-3.6764 0.0000 8.4595
Ca Pt
5 1
Direct
0.0000 0.0000 0.0000
0.3319 0.3319 0.2218
0.3800 0.3800 0.6194
0.6200 0.6200 0.3806
0.6681 0.6681 0.7782
0.0000 0.0000 0.5000

K2CdHg | Alexandria via LeMat-Bulk | PBE-GGA | optimized geometry; crystal system = orthorhombic; symmetry = Imm2 (44); volume = 38.6 Å³/atom; formation enthalpy at 0 K = -55 kJ/mol of formula units
1.0
-2.2718 2.9443 5.7679
2.2718 -2.9443 5.7679
2.2718 2.9443 -5.7679
K Cd Hg
2 1 1
Direct
0.0000 0.0000 0.0000
0.7058 0.2058 0.5000
0.2771 0.7771 0.5000
0.4416 0.4416 0.0000

Ta5Nb4 | Alexandria via LeMat-Bulk | PBE-GGA | optimized geometry; crystal system = orthorhombic; symmetry = Fmmm (69); volume = 18.2 Å³/atom; formation enthalpy at 0 K = -10 kJ/mol of formula units; polymorph energy (0 for the lowest one) = 0.0000 eV/atom
1.0
0.0000 4.9757 7.0210
2.3500 0.0000 7.0210
2.3500 4.9757 0.0000
Ta Nb
5 4
Direct
0.0000 0.0000 0.0000
0.3311 0.3311 0.6689
0.3353 0.6647 0.3353
0.6647 0.3353 0.6647
0.6689 0.6689 0.3311
0.0033 0.6660 0.3340
0.3340 0.9967 0.0033
0.6660 0.0033 0.9967
0.9967 0.3340 0.6660

Ca2RhBr | Alexandria via LeMat-Bulk | PBE-GGA | optimized geometry; crystal system = monoclinic; symmetry = P2/m (10); volume = 23.9 Å³/atom; energy relative to the elements, uncorrected = -0.93 eV per atom; polymorph energy (0 for the lowest one) = 0.0000 eV/atom
1.0
3.5292 0.0000 0.0000
0.0000 3.4928 0.0000
-0.0181 0.0000 7.7482
Ca Rh Br
2 1 1
Direct
0.0003 0.0000 0.2139
0.9997 0.0000 0.7861
0.5000 0.5000 0.0000
0.5000 0.5000 0.5000

La4SiSnN | Alexandria via LeMat-Bulk | PBE-GGA | optimized geometry; crystal system = orthorhombic; symmetry = Cmcm (63); volume = 29.0 Å³/atom; energy relative to the elements, uncorrected = -0.83 eV per atom
1.0
3.4461 -8.5138 0.0000
3.4461 8.5138 0.0000
0.0000 0.0000 6.9308
La Si Sn N
8 2 2 2
Direct
0.0000 0.5000 0.0000
0.0000 0.5000 0.5000
0.0642 0.9358 0.7500
0.4160 0.5840 0.7500
0.5000 0.0000 0.0000
0.5000 0.0000 0.5000
0.5840 0.4160 0.2500
0.9358 0.0642 0.2500
0.1159 0.8841 0.2500
0.8841 0.1159 0.7500
0.3905 0.6095 0.2500
0.6095 0.3905 0.7500
0.2747 0.7253 0.7500
0.7253 0.2747 0.2500

Li8Sn2Pd | Alexandria via LeMat-Bulk | PBE-GGA | optimized geometry; crystal system = monoclinic; symmetry = C2/m (12); volume = 17.3 Å³/atom; formation enthalpy at 0 K = -326 kJ/mol of formula units
1.0
7.0975 -2.2359 0.0000
7.0975 2.2359 0.0000
-2.0345 0.0000 6.0021
Li Sn Pd
8 2 1
Direct
0.0205 0.0205 0.2367
0.1520 0.1520 0.6730
0.3370 0.3370 0.5924
0.3985 0.3985 0.0799
0.6015 0.6015 0.9201
0.6630 0.6630 0.4076
0.8480 0.8480 0.3270
0.9795 0.9795 0.7633
0.2059 0.2059 0.1512
0.7941 0.7941 0.8488
0.5000 0.5000 0.5000

RbPuF5 | Alexandria via LeMat-Bulk | PBE-GGA | optimized geometry; crystal system = monoclinic; symmetry = C2/c (15); volume = 24.5 Å³/atom; energy relative to the elements, uncorrected = -3.33 eV per atom
1.0
5.2943 -3.9207 0.0000
5.2943 3.9207 0.0000
-3.5570 0.0000 8.2671
Rb Pu F
2 2 10
Direct
0.0249 0.9751 0.7500
0.9751 0.0249 0.2500
0.5000 0.5000 0.0000
0.5000 0.5000 0.5000
0.2200 0.7603 0.0197
0.2397 0.7800 0.4803
0.2707 0.2986 0.3968
0.2986 0.2707 0.8968
0.4559 0.5441 0.7500
0.5441 0.4559 0.2500
0.7014 0.7293 0.1032
0.7293 0.7014 0.6032
0.7603 0.2200 0.5197
0.7800 0.2397 0.9803

ErB2Ru3 | Alexandria via LeMat-Bulk | PBE-GGA | optimized geometry; crystal system = hexagonal; symmetry = P6/mmm (191); volume = 13.2 Å³/atom; formation enthalpy at 0 K = -275 kJ/mol of formula units
1.0
5.5080 0.0000 0.0000
-2.7540 4.7701 0.0000
0.0000 0.0000 3.0188
Er B Ru
1 2 3
Direct
0.0000 0.0000 0.0000
0.3333 0.6667 0.0000
0.6667 0.3333 0.0000
0.0000 0.5000 0.5000
0.5000 0.0000 0.5000
0.5000 0.5000 0.5000

NaMnAs2 | Alexandria via LeMat-Bulk | PBE-GGA | optimized geometry; crystal system = tetragonal; symmetry = I4_1/amd (141); volume = 27.0 Å³/atom; formation enthalpy at 0 K = 6 kJ/mol of formula units; polymorph energy (0 for the lowest one) = 0.2687 eV/atom
1.0
-2.8252 2.8252 6.7555
2.8252 -2.8252 6.7555
2.8252 2.8252 -6.7555
Na Mn As
2 2 4
Direct
0.3750 0.6250 0.7500
0.6250 0.3750 0.2500
0.1250 0.8750 0.2500
0.8750 0.1250 0.7500
0.0000 0.0000 0.0000
0.0000 0.0000 0.5000
0.0000 0.5000 0.0000
0.5000 0.0000 0.5000

SrTl2Tc | Alexandria via LeMat-Bulk | PBE-GGA | optimized geometry; crystal system = cubic; symmetry = Fm-3m (225); volume = 25.0 Å³/atom; formation enthalpy at 0 K = 172 kJ/mol of formula units; polymorph energy (0 for the lowest one) = 0.1263 eV/atom
1.0
0.0000 3.6831 3.6831
3.6831 0.0000 3.6831
3.6831 3.6831 0.0000
Sr Tl Tc
1 2 1
Direct
0.0000 0.0000 0.0000
0.2500 0.2500 0.2500
0.7500 0.7500 0.7500
0.5000 0.5000 0.5000

LuZrAgSn | Alexandria via LeMat-Bulk | PBE-GGA | optimized geometry; crystal system = cubic; symmetry = F-43m (216); volume = 22.4 Å³/atom; formation enthalpy at 0 K = -121 kJ/mol of formula units
1.0
0.0000 3.5492 3.5492
3.5492 0.0000 3.5492
3.5492 3.5492 0.0000
Lu Zr Ag Sn
1 1 1 1
Direct
0.0000 0.0000 0.0000
0.5000 0.5000 0.5000
0.2500 0.2500 0.2500
0.7500 0.7500 0.7500

VInI3 | Alexandria via LeMat-Bulk | PBE-GGA | optimized geometry; crystal system = cubic; symmetry = Pm-3m (221); volume = 36.2 Å³/atom; energy relative to the elements, uncorrected = -0.27 eV per atom; polymorph energy (0 for the lowest one) = 0.0000 eV/atom
1.0
5.6555 0.0000 0.0000
0.0000 5.6555 0.0000
0.0000 0.0000 5.6555
V In I
1 1 3
Direct
0.0000 0.0000 0.0000
0.5000 0.5000 0.5000
0.0000 0.0000 0.5000
0.0000 0.5000 0.0000
0.5000 0.0000 0.0000

NdPb7F17 | Alexandria via LeMat-Bulk | PBE-GGA | optimized geometry; crystal system = triclinic; symmetry = P1 (1); volume = 17.0 Å³/atom; energy relative to the elements, uncorrected = -2.65 eV per atom
1.0
4.1808 0.0000 0.0000
2.0877 3.6270 0.0000
2.0873 1.2029 27.9953
Nd Pb F
1 7 17
Direct
0.0000 0.0000 0.0000
0.1246 0.1239 0.6305
0.2494 0.2472 0.2551
0.3731 0.3764 0.8808
0.5001 0.4965 0.5053
0.6245 0.6250 0.1275
0.7488 0.7508 0.7563
0.8750 0.8712 0.3799
0.0285 0.0337 0.9137
0.0921 0.0946 0.7252
0.1563 0.1522 0.5375
0.2195 0.2157 0.3465
0.2816 0.2817 0.1560
0.3334 0.3358 0.9991
0.4032 0.4059 0.7911
0.4688 0.4677 0.5985
0.5314 0.5268 0.4114
0.5934 0.5909 0.2232
0.6519 0.6537 0.0432
0.6805 0.6870 0.9572
0.7173 0.7223 0.8478
0.7808 0.7800 0.6623
0.8444 0.8403 0.4733
0.9059 0.9023 0.2866
0.9700 0.9718 0.0892

KNa2AlAg | Alexandria via LeMat-Bulk | PBE-GGA | optimized geometry; crystal system = tetragonal; symmetry = P4/mmm (123); volume = 33.5 Å³/atom; formation enthalpy at 0 K = 49 kJ/mol of formula units; polymorph energy (0 for the lowest one) = 0.0000 eV/atom
1.0
5.7972 0.0000 0.0000
0.0000 5.7972 0.0000
0.0000 0.0000 4.9906
K Na Al Ag
1 2 1 1
Direct
0.0000 0.0000 0.0000
0.0000 0.5000 0.5000
0.5000 0.0000 0.5000
0.5000 0.5000 0.0000
0.5000 0.5000 0.5000

Tl2BiC | Alexandria via LeMat-Bulk | PBE-GGA | optimized geometry; crystal system = cubic; symmetry = Fm-3m (225); volume = 25.4 Å³/atom; formation enthalpy at 0 K = 581 kJ/mol of formula units; polymorph energy (0 for the lowest one) = 0.4725 eV/atom
1.0
0.0000 3.7040 3.7040
3.7040 0.0000 3.7040
3.7040 3.7040 0.0000
Tl Bi C
2 1 1
Direct
0.2500 0.2500 0.2500
0.7500 0.7500 0.7500
0.0000 0.0000 0.0000
0.5000 0.5000 0.5000

Ca2Ga5Pd2Au | Alexandria via LeMat-Bulk | PBE-GGA | optimized geometry; crystal system = tetragonal; symmetry = P4/mbm (127); volume = 19.3 Å³/atom; formation enthalpy at 0 K = -495 kJ/mol of formula units
1.0
9.6483 0.0000 0.0000
0.0000 9.6483 0.0000
0.0000 0.0000 4.1506
Ca Ga Pd Au
4 10 4 2
Direct
0.1848 0.3152 0.0000
0.3152 0.8152 0.0000
0.6848 0.1848 0.0000
0.8152 0.6848 0.0000
0.0000 0.5000 0.5000
0.0566 0.7986 0.5000
0.2014 0.0566 0.5000
0.2986 0.5566 0.5000
0.4434 0.2986 0.5000
0.5000 0.0000 0.5000
0.5566 0.7014 0.5000
0.7014 0.4434 0.5000
0.7986 0.9434 0.5000
0.9434 0.2014 0.5000
0.1108 0.6108 0.0000
0.3892 0.1108 0.0000
0.6108 0.8892 0.0000
0.8892 0.3892 0.0000
0.0000 0.0000 0.0000
0.5000 0.5000 0.0000

CsReGe2Pb | Alexandria via LeMat-Bulk | PBE-GGA | optimized geometry; crystal system = tetragonal; symmetry = P4/mmm (123); volume = 35.1 Å³/atom; formation enthalpy at 0 K = 697 kJ/mol of formula units
1.0
5.7059 0.0000 0.0000
0.0000 5.7059 0.0000
0.0000 0.0000 5.3878
Cs Re Ge Pb
1 1 2 1
Direct
0.0000 0.0000 0.0000
0.5000 0.5000 0.0000
0.0000 0.5000 0.5000
0.5000 0.0000 0.5000
0.5000 0.5000 0.5000

NaVP2S8 | Alexandria via LeMat-Bulk | PBE-GGA | optimized geometry; crystal system = trigonal; symmetry = R-3 (148); volume = 22.6 Å³/atom; energy relative to the elements, uncorrected = -0.36 eV per atom
1.0
2.9331 1.6934 9.1125
-2.9331 1.6934 9.1125
0.0000 -3.3868 9.1125
Na V P S
1 1 2 8
Direct
0.0000 0.0000 0.0000
0.5000 0.5000 0.5000
0.2387 0.2387 0.2387
0.7613 0.7613 0.7613
0.1251 0.4446 0.7847
0.2153 0.8749 0.5554
0.3111 0.3111 0.3111
0.4446 0.7847 0.1251
0.5554 0.2153 0.8749
0.6889 0.6889 0.6889
0.7847 0.1251 0.4446
0.8749 0.5554 0.2153

BaNaF2 | Alexandria via LeMat-Bulk | PBE-GGA | optimized geometry; crystal system = cubic; symmetry = Fm-3m (225); volume = 19.9 Å³/atom; energy relative to the elements, uncorrected = -2.34 eV per atom; polymorph energy (0 for the lowest one) = 0.4408 eV/atom
1.0
0.0000 3.4151 3.4151
3.4151 0.0000 3.4151
3.4151 3.4151 0.0000
Ba Na F
1 1 2
Direct
0.0000 0.0000 0.0000
0.5000 0.5000 0.5000
0.2500 0.2500 0.2500
0.7500 0.7500 0.7500